The following is a PBE+U calculation of a relaxed AgHgWF6 crystal, from Alexandria via LeMat-Bulk.

The structure belongs to space group P-31c (No. 163); the cell edges are 6.6328, 6.6328 and 9.7677 Å and the angles 90.00°, 90.00° and 120.00°. The asymmetric unit holds Ag at (0.3333, 0.6667, 0.2500), Hg at (0.0000, 0.0000, 0.0000), W at (0.3333, 0.6667, 0.7500) and F at (0.0726, 0.4415, 0.6402).

The total energy is -78.47 eV/cell.